# K4Rb3Na2, optimized geometry, DFT PBE-GGA
# Symmetry: No. 15
# V: 71.08 A^3/atom
# Calculated formation energy: 0.032 eV/atom
# Final energy: -1.072 eV per atom
data_K4Rb3Na2
_cell_length_a 13.462
_cell_length_b 13.462
_cell_length_c 7.965
_cell_angle_alpha 93.89
_cell_angle_beta 93.89
_cell_angle_gamma 62.77
_space_group_name_H-M_alt 'P 1'
_space_group_IT_number 1
_space_group_name_Hall 'P 1'
loop_
_atom_site_label
_atom_site_type_symbol
_atom_site_fract_x
_atom_site_fract_y
_atom_site_fract_z
K1 K 0.090 0.318 0.876
K2 K 0.112 0.688 0.665
K3 K 0.312 0.888 0.835
K4 K 0.318 0.090 0.376
K5 K 0.682 0.910 0.624
K6 K 0.688 0.112 0.165
K7 K 0.888 0.312 0.335
K8 K 0.910 0.682 0.124
Rb1 Rb 0.095 0.905 0.250
Rb2 Rb 0.325 0.488 0.095
Rb3 Rb 0.488 0.325 0.595
Rb4 Rb 0.512 0.675 0.405
Rb5 Rb 0.675 0.512 0.905
Rb6 Rb 0.905 0.095 0.750
Na1 Na 0.134 0.413 0.408
Na2 Na 0.413 0.134 0.908
Na3 Na 0.587 0.866 0.092
Na4 Na 0.866 0.587 0.592